Density functional theory data (PBE) for a geometry-optimized Na5Cd2Au2 structure.

The volume comes out at 494 Å³/cell. For the total magnetization, the calculation gives 0.0 μB per cell. As for the space-group type: Cmce, No. 64. Its crystal system is orthorhombic. For the formation energy from the elements, the calculation gives -1.266 eV per formula unit. The value obtained for the total energy is -32.5 eV for the cell shown.

Cell lengths 7.6429, 7.6956, 9.2411 Å; angles 114.61, 90.00, 90.00 degrees
Last column: nearest neighbours and their distance in Å.
Atoms (fractional coordinates):
Na  0.0000  0.0000  0.0000  4 Au 3.01-3.03
Na  0.5000  0.5000  0.0000  4 Au 3.01-3.03
Na  0.8258  0.7976  0.2448  3 Au 2.97-3.13, 3 Cd 3.21-3.30
Na  0.1742  0.4472  0.2448  3 Au 2.97-3.13, 3 Cd 3.21-3.30
Na  0.3258  0.9472  0.2448  3 Au 2.97-3.13, 3 Cd 3.21-3.30
Na  0.6742  0.2976  0.2448  3 Au 2.97-3.13, 3 Cd 3.21-3.30
Na  0.1742  0.2024  0.7552  3 Au 2.97-3.13, 3 Cd 3.21-3.30
Na  0.8258  0.5528  0.7552  3 Au 2.97-3.13, 3 Cd 3.21-3.30
Na  0.6742  0.0528  0.7552  3 Au 2.97-3.13, 3 Cd 3.21-3.30
Na  0.3258  0.7024  0.7552  3 Au 2.97-3.13, 3 Cd 3.21-3.30
Cd  0.0000  0.2235  0.4471  6 Na 3.21-3.30
Cd  0.5000  0.7235  0.4471  6 Na 3.21-3.30
Cd  0.0000  0.7765  0.5529  6 Na 3.21-3.30
Cd  0.5000  0.2765  0.5529  6 Na 3.21-3.30
Au  0.6274  0.8723  0.0000  1 Au 2.77, 4 Na 2.97-3.03
Au  0.3726  0.1277  0.0000  1 Au 2.77, 4 Na 2.97-3.03
Au  0.1274  0.6277  0.0000  1 Au 2.77, 4 Na 2.97-3.03
Au  0.8726  0.3723  0.0000  1 Au 2.77, 4 Na 2.97-3.03